RbNbCu2 | PBE | optimized geometry

For the total magnetic moment, the calculation gives 7.61 μB/cell. The volume comes out at 432.21 Å³ per cell. The formation energy comes out at 4.8 eV/f.u. The calculation puts the distance to the lowest polymorph of the same formula at 0.0000 eV/atom.

The space group is I-42d (No. 122) and the conventional cell measures 7.6645, 7.6645 and 7.3574 Å, with angles of 90.00, 90.00 and 90.00 degrees. The inequivalent atoms are Rb at (0.0000, 0.0000, 0.0000), Nb at (0.0000, 0.0000, 0.5000) and Cu at (0.1716, 0.2500, 0.6250).